Computed, not measured: a relaxed Y2HoTe2 crystal at the GGA-PBE level of DFT.

abc: 6.169 4.104 12.114
angles: 90.00 100.25 90.00
Space group P2_1/m (No. 11)
Symmetry-distinct sites (fractional):
Y 0.111 0.250 0.240 x2
Y 0.278 0.250 0.621 x2
Ho 0.213 0.250 0.966 x2
Te 0.237 0.750 0.428 x2
Te 0.414 0.750 0.817 x2

Values from the calculation:
ΔE_f (raw)	-4.98	eV/f.u.
DOS(E_F)	0.787	states/eV per atom
calculated volume	151	Å³/f.u.
crystal system	monoclinic